# 1
Entry from the Alexandria database: an optimized crystal structure of Mn2InTc2 (PBE-GGA).

CIF file:
```
data_Mn2InTc2
_symmetry_space_group_name_H-M 'P 4/m b m'
_symmetry_Int_Tables_number 127
_symmetry_space_group_name_Hall '-P 4 2ab'
_cell_length_a 7.219
_cell_length_b 7.219
_cell_length_c 2.783
_cell_angle_alpha 90.00
_cell_angle_beta 90.00
_cell_angle_gamma 90.00
loop_
_atom_site_label
_atom_site_type_symbol
_atom_site_fract_x
_atom_site_fract_y
_atom_site_fract_z
Mn1 Mn 0.124 0.376 0.000
In1 In 0.000 0.000 0.000
Tc1 Tc 0.160 0.660 0.500
```

## Properties
energy	-8.127	eV/atom
distance to the lowest polymorph of the same formula	0.0000	eV per atom
formation energy from the elements	0.234	eV per atom


# 2
Entry from the Alexandria database: an optimized crystal structure of MnInTc2 (PBE-GGA).

CIF file:
```
data_MnInTc2
_symmetry_space_group_name_H-M 'C m m m'
_symmetry_Int_Tables_number 65
_symmetry_space_group_name_Hall '-C 2 2'
_cell_length_a 5.380
_cell_length_b 8.027
_cell_length_c 2.930
_cell_angle_alpha 90.00
_cell_angle_beta 90.00
_cell_angle_gamma 90.00
loop_
_atom_site_label
_atom_site_type_symbol
_atom_site_fract_x
_atom_site_fract_y
_atom_site_fract_z
Mn1 Mn 0.000 0.000 0.000
In1 In 0.000 0.500 0.000
Tc1 Tc 0.250 0.250 0.500
```

## Properties
energy	-7.774	eV/atom
formation energy from the elements	0.386	eV per atom